Record 1
Density functional theory data (GGA-PBE) for crystalline GeCN at its relaxed geometry.

a b c (Å): 2.366 2.997 5.309
angles (deg): 89.99 103.09 90.02
Positions (direct):
1 Ge 0.541 0.857 0.987
2 C 0.337 0.857 0.582
3 N 0.771 0.857 0.454

Computed properties:
* energy relative to the elements, uncorrected: 526 meV per atom
* space group: No. 6
* spin magnetization: 0.00 μB/cell
* distance to the lowest polymorph of the same formula: 0.02 eV per formula unit
* calculated total energy: -6.863 eV/atom

***

Record 2
Density functional theory data (GGA-PBE) for crystalline Lu3Hf at its relaxed geometry.

a b c (Å): 4.763 4.763 5.815
angles (deg): 114.18 114.18 90.00
Positions (direct):
1 Lu 0.750 0.250 0.500
2 Lu 0.250 0.750 0.500
3 Lu 0.500 0.500 0.000
4 Hf 0.000 0.000 0.000

Computed properties:
* space group: No. 139
* spin magnetization: 0.00 μB/cell
* distance to the lowest polymorph of the same formula: 0.21 eV per formula unit
* energy relative to the elements: 115 meV/atom
* calculated total energy: -5.764 eV/atom

***

Record 3
Density functional theory data (GGA-PBE) for crystalline NaNd2GeO6 at its relaxed geometry.

a b c (Å): 5.545 5.925 7.910
angles (deg): 90.00 88.40 90.00
Positions (direct):
1 Na 0.500 0.000 0.000
2 Na 0.000 0.500 0.500
3 Nd 0.023 0.930 0.255
4 Nd 0.523 0.570 0.755
5 Nd 0.977 0.070 0.745
6 Nd 0.477 0.430 0.245
7 Ge 0.500 0.000 0.500
8 Ge 0.000 0.500 0.000
9 O 0.282 0.671 0.050
10 O 0.782 0.829 0.550
11 O 0.718 0.329 0.950
12 O 0.218 0.171 0.450
13 O 0.335 0.725 0.431
14 O 0.835 0.775 0.931
15 O 0.665 0.275 0.569
16 O 0.165 0.225 0.069
17 O 0.883 0.548 0.225
18 O 0.383 0.952 0.725
19 O 0.117 0.452 0.775
20 O 0.617 0.048 0.275

Computed properties:
* energy relative to the elements, uncorrected: -2396 meV per atom
* space group: No. 14
* spin magnetization: 2.16 μB/cell
* calculated total energy: -6.918 eV/atom

***

Record 4
Density functional theory data (GGA-PBE) for crystalline ErThRu2 at its relaxed geometry.

a b c (Å): 4.902 4.902 4.902
angles (deg): 60.00 60.00 60.00
Positions (direct):
1 Ru 0.000 0.000 0.000
2 Ru 0.500 0.500 0.500
3 Th 0.250 0.250 0.250
4 Er 0.750 0.750 0.750

Computed properties:
* space group: No. 225
* spin magnetization: 0.00 μB/cell
* energy relative to the elements: -460 meV/atom
* calculated total energy: -8.094 eV/atom

***

Record 5
Density functional theory data (GGA-PBE) for crystalline BaCeSb2 at its relaxed geometry.

a b c (Å): 4.638 4.638 8.547
angles (deg): 74.26 74.26 60.00
Positions (direct):
1 Ba 0.498 0.498 0.507
2 Ce 0.668 0.668 0.996
3 Sb 0.070 0.070 0.789
4 Sb 0.264 0.264 0.208

Computed properties:
* energy relative to the elements, uncorrected: -952 meV per atom
* space group: No. 160
* spin magnetization: 0.13 μB/cell
* distance to the lowest polymorph of the same formula: 0.22 eV per formula unit
* calculated total energy: -4.977 eV/atom

***

Record 6
Density functional theory data (GGA-PBE) for crystalline Tb3Pm8Tm4 at its relaxed geometry.

a b c (Å): 6.837 9.323 9.323
angles (deg): 81.40 113.11 113.11
Positions (direct):
1 Tb 0.500 0.500 0.000
2 Tb 0.500 0.000 0.500
3 Tb 0.500 0.500 0.500
4 Pm 0.765 0.296 0.296
5 Pm 0.000 0.705 0.295
6 Pm 0.194 0.243 0.243
7 Pm 0.500 0.754 0.246
8 Pm 0.500 0.246 0.754
9 Pm 0.806 0.757 0.757
10 Pm 0.000 0.295 0.705
11 Pm 0.235 0.704 0.704
12 Tm 0.500 0.000 0.000
13 Tm 0.000 0.500 0.000
14 Tm 0.000 0.000 0.000
15 Tm 0.000 0.000 0.500

Computed properties:
* space group: No. 12
* spin magnetization: 0.00 μB/cell
* energy relative to the elements: 348 meV/atom
* calculated total energy: -4.304 eV/atom